Computed, not measured: PuMgCuAu after structural relaxation at the PBE-GGA level of DFT.

Output
DFT formation energy: -0.76 eV/f.u.
E_tot: -24.06 eV/cell
M_tot: 5.77 μB/f.u.

Lattice parameters (Å, degrees): 4.890 4.890 4.890 60.00 60.00 60.00
Atoms (fractional coordinates):
Pu: 0.000 0.000 0.000
Mg: 0.500 0.500 0.500
Cu: 0.750 0.750 0.750
Au: 0.250 0.250 0.250